Material: KCr2Pb2O7
Method: DFT, GGA+U
State: relaxed

Cell lengths 5.811, 5.811, 8.788 Å; angles 70.69, 70.69, 60.00 degrees
Last column: magnetic moment on the atom in μB.
Element x y z (fractional)
1 O 0.164 0.961 0.283  -0.07
2 O 0.039 0.836 0.717  -0.07
3 O 0.407 0.039 0.717  -0.07
4 O 0.000 0.000 0.000  -0.09
5 O 0.836 0.407 0.717  -0.07
6 O 0.961 0.593 0.283  -0.07
7 O 0.593 0.164 0.283  -0.07
8 Pb 0.290 0.290 0.130  0.02
9 Pb 0.710 0.710 0.870  0.02
10 Cr 0.925 0.925 0.224  1.72
11 Cr 0.075 0.075 0.776  1.72
12 K 0.500 0.500 0.500  0.00

**DFT total energy**: -74.5 eV for the cell shown
**Space-group type**: R32
**D(E_F)**: 4.33 states/eV per cell